(1)
Cs2PuInTe4: optimized geometry, PBE.

Calculated values
formation energy from raw total energies: -798 meV/atom

Cell and atoms, written as POSCAR:
```
Cs2PuInTe4
1.0
9.3399 0.0000 0.0000
0.0000 9.3399 0.0000
0.0000 0.0000 7.8192
Cs Pu In Te
4 2 2 8
Direct
0.0000 0.5000 0.0000
0.0000 0.5000 0.5000
0.5000 0.0000 0.0000
0.5000 0.0000 0.5000
0.0000 0.0000 0.0000
0.5000 0.5000 0.5000
0.0000 0.0000 0.5000
0.5000 0.5000 0.0000
0.1684 0.1684 0.2695
0.1684 0.8316 0.7305
0.3316 0.3316 0.7695
0.3316 0.6684 0.2305
0.6684 0.3316 0.2305
0.6684 0.6684 0.7695
0.8316 0.1684 0.7305
0.8316 0.8316 0.2695
```

***

(2)
CsPuInTe3: optimized geometry, PBE.

Calculated values
formation energy from raw total energies: -827 meV/atom

Cell and atoms, written as POSCAR:
```
CsPuInTe3
1.0
10.5034 0.0000 0.0000
0.0000 4.4010 0.0000
-3.3584 0.0000 10.6572
Cs Pu In Te
2 2 2 6
Direct
0.1970 0.2500 0.2389
0.8030 0.7500 0.7611
0.3504 0.7500 0.8469
0.6496 0.2500 0.1531
0.1128 0.2500 0.5641
0.8872 0.7500 0.4359
0.1343 0.2500 0.8320
0.3080 0.7500 0.5613
0.4405 0.7500 0.1355
0.5595 0.2500 0.8645
0.6921 0.2500 0.4387
0.8657 0.7500 0.1680
```

***

(3)
CsRbIn2: optimized geometry, PBE.

Calculated values
offset from the most stable computed form: 17 meV per atom
energy of formation from the pure elements: -0.18 eV per formula unit

Cell and atoms, written as POSCAR:
```
CsRbIn2
1.0
6.7185 0.0000 0.0000
0.0000 8.9878 0.0000
-3.3527 0.0000 6.4681
Cs Rb In
2 2 4
Direct
0.0967 0.2500 0.1925
0.9033 0.7500 0.8075
0.2284 0.7500 0.4582
0.7716 0.2500 0.5418
0.4119 0.0908 0.8216
0.4119 0.4092 0.8216
0.5881 0.5908 0.1784
0.5881 0.9092 0.1784
```